# 1
Entry from Alexandria: LaSc2 after structural relaxation (GGA-PBE).

Values from the calculation:
electronic total energy	-5.749	eV per atom
energy above the lowest structure with this stoichiometry	0.054	eV/atom
energy relative to the elements	0.115	eV per atom

The structure in CIF format:
```
data_LaSc2
_cell_length_a 5.3953
_cell_length_b 5.3953
_cell_length_c 6.7436
_cell_angle_alpha 90.00
_cell_angle_beta 90.00
_cell_angle_gamma 120.00
_space_group_name_H-M_alt 'P 63/m m c'
_space_group_IT_number 194
_space_group_name_Hall '-P 6c 2c'
loop_
_atom_site_label
_atom_site_type_symbol
_atom_site_fract_x
_atom_site_fract_y
_atom_site_fract_z
La1 La 0.3333 0.6667 0.2500
Sc1 Sc 0.0000 0.0000 0.0000
Sc2 Sc 0.3333 0.6667 0.7500
```



# 2
Entry from Alexandria: Sr2MgAs4Au3 after structural relaxation (GGA-PBE).

Values from the calculation:
electronic total energy	-3.957	eV per atom
energy relative to the elements	-0.618	eV per atom

The structure in CIF format:
```
data_Sr2MgAs4Au3
_cell_length_a 4.510
_cell_length_b 4.510
_cell_length_c 11.283
_cell_angle_alpha 90.00
_cell_angle_beta 90.00
_cell_angle_gamma 90.00
_space_group_name_H-M_alt 'P -4 m 2'
_space_group_IT_number 115
_space_group_name_Hall 'P -4 -2'
loop_
_atom_site_label
_atom_site_type_symbol
_atom_site_fract_x
_atom_site_fract_y
_atom_site_fract_z
Sr1 Sr 0.000 0.500 0.240
Mg1 Mg 0.000 0.000 0.500
As1 As 0.000 0.000 0.000
As2 As 0.000 0.500 0.639
As3 As 0.500 0.500 0.000
Au1 Au 0.000 0.500 0.866
Au2 Au 0.500 0.500 0.500
```



# 3
Entry from Alexandria: Sb2SeBr after structural relaxation (GGA-PBE).

Values from the calculation:
electronic total energy	-3.311	eV per atom
formation energy from raw total energies	40	meV/atom
energy above the lowest structure with this stoichiometry	0.179	eV/atom

The structure in CIF format:
```
data_Sb2SeBr
_cell_length_a 3.756
_cell_length_b 3.756
_cell_length_c 7.609
_cell_angle_alpha 90.00
_cell_angle_beta 90.00
_cell_angle_gamma 90.00
_space_group_name_H-M_alt 'P 4/m m m'
_space_group_IT_number 123
_space_group_name_Hall '-P 4 2'
loop_
_atom_site_label
_atom_site_type_symbol
_atom_site_fract_x
_atom_site_fract_y
_atom_site_fract_z
Sb1 Sb 0.000 0.000 0.198
Se1 Se 0.500 0.500 0.000
Br1 Br 0.500 0.500 0.500
```



# 4
Entry from Alexandria: CaSmEr2S4 after structural relaxation (GGA-PBE).

Values from the calculation:
electronic total energy	-6.056	eV per atom
formation energy from raw total energies	-2011	meV/atom

The structure in CIF format:
```
data_CaSmEr2S4
_cell_length_a 6.821
_cell_length_b 3.915
_cell_length_c 6.833
_cell_angle_alpha 90.00
_cell_angle_beta 109.12
_cell_angle_gamma 90.00
_space_group_name_H-M_alt 'P 1 2/m 1'
_space_group_IT_number 10
_space_group_name_Hall '-P 2y'
loop_
_atom_site_label
_atom_site_type_symbol
_atom_site_fract_x
_atom_site_fract_y
_atom_site_fract_z
Ca1 Ca 0.000 0.000 0.000
Sm1 Sm 0.000 0.500 0.500
Er1 Er 0.500 0.000 0.500
Er2 Er 0.500 0.500 0.000
S1 S 0.260 0.500 0.251
S2 S 0.261 0.000 0.757
```



# 5
Entry from Alexandria: Tm2SiBi after structural relaxation (GGA-PBE).

Values from the calculation:
electronic total energy	-5.189	eV per atom
formation energy from raw total energies	-627	meV/atom

The structure in CIF format:
```
data_Tm2SiBi
_cell_length_a 4.0812
_cell_length_b 4.0812
_cell_length_c 22.5155
_cell_angle_alpha 90.00
_cell_angle_beta 90.00
_cell_angle_gamma 120.00
_space_group_name_H-M_alt 'R -3 m'
_space_group_IT_number 166
_space_group_name_Hall '-R 3 2"'
loop_
_atom_site_label
_atom_site_type_symbol
_atom_site_fract_x
_atom_site_fract_y
_atom_site_fract_z
Tm1 Tm 0.0000 0.0000 0.2370
Si1 Si 0.0000 0.0000 0.5000
Bi1 Bi 0.0000 0.0000 0.0000
```



# 6
Entry from Alexandria: CeThMgIn after structural relaxation (GGA-PBE).

Values from the calculation:
electronic total energy	-4.510	eV per atom
energy above the lowest structure with this stoichiometry	0.003	eV/atom
energy relative to the elements	-0.089	eV per atom

The structure in CIF format:
```
data_CeThMgIn
_cell_length_a 4.689
_cell_length_b 4.689
_cell_length_c 9.967
_cell_angle_alpha 90.00
_cell_angle_beta 90.00
_cell_angle_gamma 90.00
_space_group_name_H-M_alt 'I -4 m 2'
_space_group_IT_number 119
_space_group_name_Hall 'I -4 -2'
loop_
_atom_site_label
_atom_site_type_symbol
_atom_site_fract_x
_atom_site_fract_y
_atom_site_fract_z
Ce1 Ce 0.000 0.000 0.000
Th1 Th 0.000 0.500 0.250
Mg1 Mg 0.000 0.500 0.750
In1 In 0.000 0.000 0.500
```



# 7
Entry from Alexandria: AcLuAu2 after structural relaxation (GGA-PBE).

Values from the calculation:
electronic total energy	-4.533	eV per atom
energy above the lowest structure with this stoichiometry	0.076	eV/atom
energy relative to the elements	-0.737	eV per atom

The structure in CIF format:
```
data_AcLuAu2
_cell_length_a 7.497
_cell_length_b 7.497
_cell_length_c 7.497
_cell_angle_alpha 90.00
_cell_angle_beta 90.00
_cell_angle_gamma 90.00
_space_group_name_H-M_alt 'F m -3 m'
_space_group_IT_number 225
_space_group_name_Hall '-F 4 2 3'
loop_
_atom_site_label
_atom_site_type_symbol
_atom_site_fract_x
_atom_site_fract_y
_atom_site_fract_z
Ac1 Ac 0.000 0.000 0.000
Lu1 Lu 0.000 0.000 0.500
Au1 Au 0.250 0.250 0.250
```



# 8
Entry from Alexandria: Rb2FeHCl6 after structural relaxation (GGA-PBE).

Values from the calculation:
electronic total energy	-3.623	eV per atom

The structure in CIF format:
```
data_Rb2FeHCl6
_cell_length_a 7.681
_cell_length_b 7.681
_cell_length_c 9.094
_cell_angle_alpha 90.00
_cell_angle_beta 90.00
_cell_angle_gamma 90.00
_space_group_name_H-M_alt 'I 4/m m m'
_space_group_IT_number 139
_space_group_name_Hall '-I 4 2'
loop_
_atom_site_label
_atom_site_type_symbol
_atom_site_fract_x
_atom_site_fract_y
_atom_site_fract_z
Rb1 Rb 0.000 0.500 0.250
Fe1 Fe 0.000 0.000 0.000
H1 H 0.000 0.000 0.500
Cl1 Cl 0.000 0.000 0.328
Cl2 Cl 0.204 0.204 0.000
```



# 9
Entry from Alexandria: Nd2Ho3Sc2 after structural relaxation (GGA-PBE).

Values from the calculation:
electronic total energy	-5.085	eV per atom
energy above the lowest structure with this stoichiometry	0.014	eV/atom
energy relative to the elements	0.048	eV per atom

The structure in CIF format:
```
data_Nd2Ho3Sc2
_cell_length_a 10.971
_cell_length_b 4.968
_cell_length_c 7.830
_cell_angle_alpha 90.00
_cell_angle_beta 98.48
_cell_angle_gamma 90.00
_space_group_name_H-M_alt 'C 1 2/m 1'
_space_group_IT_number 12
_space_group_name_Hall '-C 2y'
loop_
_atom_site_label
_atom_site_type_symbol
_atom_site_fract_x
_atom_site_fract_y
_atom_site_fract_z
Nd1 Nd 0.073 0.000 0.224
Ho1 Ho 0.000 0.500 0.500
Ho2 Ho 0.144 0.500 0.929
Sc1 Sc 0.215 0.000 0.641
```



# 10
Entry from Alexandria: Ac2La5Tb6 after structural relaxation (GGA-PBE).

Values from the calculation:
electronic total energy	-4.565	eV per atom
energy relative to the elements	0.100	eV per atom

The structure in CIF format:
```
data_Ac2La5Tb6
_cell_length_a 12.090
_cell_length_b 21.075
_cell_length_c 3.698
_cell_angle_alpha 90.00
_cell_angle_beta 90.00
_cell_angle_gamma 90.00
_space_group_name_H-M_alt 'P b a m'
_space_group_IT_number 55
_space_group_name_Hall '-P 2 2ab'
loop_
_atom_site_label
_atom_site_type_symbol
_atom_site_fract_x
_atom_site_fract_y
_atom_site_fract_z
Ac1 Ac 0.178 0.227 0.000
La1 La 0.000 0.500 0.500
La2 La 0.081 0.789 0.500
La3 La 0.202 0.059 0.500
Tb1 Tb 0.063 0.642 0.000
Tb2 Tb 0.065 0.930 0.000
Tb3 Tb 0.189 0.381 0.500
```



# 11
Entry from Alexandria: La4Ir2N after structural relaxation (GGA-PBE).

Values from the calculation:
electronic total energy	-7.268	eV per atom
formation energy from raw total energies	-731	meV/atom

The structure in CIF format:
```
data_La4Ir2N
_cell_length_a 4.940
_cell_length_b 4.940
_cell_length_c 14.554
_cell_angle_alpha 90.00
_cell_angle_beta 90.00
_cell_angle_gamma 90.00
_space_group_name_H-M_alt 'I 4/m m m'
_space_group_IT_number 139
_space_group_name_Hall '-I 4 2'
loop_
_atom_site_label
_atom_site_type_symbol
_atom_site_fract_x
_atom_site_fract_y
_atom_site_fract_z
La1 La 0.000 0.000 0.185
La2 La 0.000 0.500 0.000
Ir1 Ir 0.000 0.000 0.366
N1 N 0.000 0.000 0.000
```



# 12
Entry from Alexandria: Pr6TmSe8 after structural relaxation (GGA-PBE).

Values from the calculation:
electronic total energy	-5.937	eV per atom
formation energy from raw total energies	-1868	meV/atom

The structure in CIF format:
```
data_Pr6TmSe8
_cell_length_a 11.998
_cell_length_b 11.998
_cell_length_c 11.998
_cell_angle_alpha 90.00
_cell_angle_beta 90.00
_cell_angle_gamma 90.00
_space_group_name_H-M_alt 'F m -3 m'
_space_group_IT_number 225
_space_group_name_Hall '-F 4 2 3'
loop_
_atom_site_label
_atom_site_type_symbol
_atom_site_fract_x
_atom_site_fract_y
_atom_site_fract_z
Pr1 Pr 0.000 0.250 0.250
Tm1 Tm 0.000 0.000 0.000
Se1 Se 0.000 0.000 0.241
Se2 Se 0.250 0.250 0.250
```



Q: The highest electronic total energy belongs to which entry?
A: Sb2SeBr